Record 1
## HoTlNO (PBE-GGA)

Data for an optimized crystal structure of HoTlNO.

Symmetry: No. 123
Distance to the lowest polymorph of the same formula, eV per atom: 0.006
Total magnetic moment, μB per atom: 0.000

a = 5.055 Å, b = 5.055 Å, c = 4.744 Å
α = 90.00°, β = 90.00°, γ = 90.00°
Fractional positions:
Ho: 0.000 0.000 0.500
Ho: 0.500 0.500 0.500
N: 0.500 0.000 0.500
N: 0.000 0.500 0.500
O: 0.000 0.000 0.000
O: 0.500 0.500 0.000
Tl: 0.500 0.000 0.001
Tl: 0.000 0.500 0.999


Record 2
## NdGdIn4Ni2 (PBE-GGA)

Data for an optimized crystal structure of NdGdIn4Ni2.

Symmetry: No. 38
Total magnetic moment, μB per atom: 0.000
E, eV/atom: -4.3177

a = 4.327 Å, b = 9.713 Å, c = 9.713 Å
α = 26.68°, β = 90.00°, γ = 90.00°
Fractional positions:
Gd: 0.000 0.361 0.361
In: 0.500 0.207 0.207
In: 0.500 0.499 0.499
In: 0.500 0.795 0.795
In: 0.000 0.999 0.999
Nd: 0.000 0.639 0.639
Ni: 0.500 0.074 0.074
Ni: 0.500 0.926 0.926


Record 3
## ZnTcNiB (PBE-GGA)

Data for an optimized crystal structure of ZnTcNiB.

Symmetry: No. 216
Distance to the lowest polymorph of the same formula, eV per atom: 0.000
Total magnetic moment, μB per atom: 0.009

a = 3.978 Å, b = 3.978 Å, c = 3.978 Å
α = 60.00°, β = 60.00°, γ = 60.00°
Fractional positions:
B: 0.000 0.000 0.000
Ni: 0.750 0.750 0.750
Tc: 0.250 0.250 0.250
Zn: 0.500 0.500 0.500


Record 4
## TcCl2 (PBE-GGA)

Data for an optimized crystal structure of TcCl2.

Symmetry: No. 136
Distance to the lowest polymorph of the same formula, eV per atom: 0.000
Total magnetic moment, μB per atom: 0.048

a = 5.527 Å, b = 5.527 Å, c = 3.738 Å
α = 90.00°, β = 90.00°, γ = 90.00°
Site moments in Bohr magnetons follow the coordinates.
Fractional positions:
Cl: 0.304 0.304 0.000  0.01
Cl: 0.696 0.696 0.000  0.01
Cl: 0.804 0.196 0.500  0.01
Cl: 0.196 0.804 0.500  0.01
Tc: 0.000 0.000 0.000  0.13
Tc: 0.500 0.500 0.500  0.10


Record 5
## RbHfAgTeSe2 (PBE-GGA)

Data for an optimized crystal structure of RbHfAgTeSe2.

Symmetry: No. 11
Distance to the lowest polymorph of the same formula, eV per atom: 0.000
Total magnetic moment, μB per atom: 0.000

a = 8.769 Å, b = 4.027 Å, c = 10.506 Å
α = 90.00°, β = 111.74°, γ = 90.00°
Fractional positions:
Ag: 0.573 0.250 0.105
Ag: 0.427 0.750 0.895
Hf: 0.816 0.750 0.346
Hf: 0.184 0.250 0.654
Rb: 0.265 0.750 0.244
Rb: 0.735 0.250 0.756
Se: 0.620 0.250 0.368
Se: 0.041 0.250 0.376
Se: 0.959 0.750 0.624
Se: 0.380 0.750 0.632
Te: 0.778 0.750 0.063
Te: 0.222 0.250 0.937


Record 6
## BaNaNbPt (PBE-GGA)

Data for an optimized crystal structure of BaNaNbPt.

Symmetry: No. 216
Distance to the lowest polymorph of the same formula, eV per atom: 0.000
Total magnetic moment, μB per atom: 0.002

a = 5.002 Å, b = 5.002 Å, c = 5.002 Å
α = 60.00°, β = 60.00°, γ = 60.00°
Fractional positions:
Ba: 0.000 0.000 0.000
Na: 0.750 0.750 0.750
Nb: 0.250 0.250 0.250
Pt: 0.500 0.500 0.500


What did the fourth record say?
## TcCl2 (PBE-GGA)

Data for an optimized crystal structure of TcCl2.

Symmetry: No. 136
Distance to the lowest polymorph of the same formula, eV per atom: 0.000
Total magnetic moment, μB per atom: 0.048

a = 5.527 Å, b = 5.527 Å, c = 3.738 Å
α = 90.00°, β = 90.00°, γ = 90.00°
Site moments in Bohr magnetons follow the coordinates.
Fractional positions:
Cl: 0.304 0.304 0.000  0.01
Cl: 0.696 0.696 0.000  0.01
Cl: 0.804 0.196 0.500  0.01
Cl: 0.196 0.804 0.500  0.01
Tc: 0.000 0.000 0.000  0.13
Tc: 0.500 0.500 0.500  0.10


Q: Among the records above, which one has the highest total magnetic moment?
A: TcCl2


Q: Look up the total magnetic moment of the fifth one.
A: 0.000 μB per atom